(1)
Entry from Alexandria: crystalline Y2FeSb at its relaxed geometry (PBE-GGA).

total energy = -0.2466 Ha/atom
total moment = 1.4 μB/f.u.
energy relative to the elements, uncorrected = -0.333 eV/atom
density = 6.22 g/cm³

```
data_Y2FeSb
_symmetry_space_group_name_H-M 'C m m m'
_symmetry_Int_Tables_number 65
_symmetry_space_group_name_Hall '-C 2 2'
_cell_length_a 6.959
_cell_length_b 6.966
_cell_length_c 3.914
_cell_angle_alpha 90.00
_cell_angle_beta 90.00
_cell_angle_gamma 90.00
loop_
_atom_site_label
_atom_site_type_symbol
_atom_site_fract_x
_atom_site_fract_y
_atom_site_fract_z
Y1 Y 0.250 0.250 0.000
Fe1 Fe 0.000 0.000 0.500
Sb1 Sb 0.000 0.500 0.500
```



(2)
Entry from Alexandria: crystalline MnSi2HgBi at its relaxed geometry (PBE-GGA).

total energy = -0.1615 Ha/atom
total moment = 1.8 μB/f.u.
energy relative to the elements, uncorrected = 0.444 eV/atom
density = 8.06 g/cm³

```
data_MnSi2HgBi
_symmetry_space_group_name_H-M 'P 4/m m m'
_symmetry_Int_Tables_number 123
_symmetry_space_group_name_Hall '-P 4 2'
_cell_length_a 4.492
_cell_length_b 4.492
_cell_length_c 5.317
_cell_angle_alpha 90.00
_cell_angle_beta 90.00
_cell_angle_gamma 90.00
loop_
_atom_site_label
_atom_site_type_symbol
_atom_site_fract_x
_atom_site_fract_y
_atom_site_fract_z
Mn1 Mn 0.000 0.000 0.000
Si1 Si 0.000 0.500 0.000
Hg1 Hg 0.000 0.000 0.500
Bi1 Bi 0.500 0.500 0.500
```



(3)
Entry from Alexandria: crystalline Sr2Sn5Rh3 at its relaxed geometry (PBE-GGA).

E above lowest polymorph = 0.00 eV/f.u.
total energy = -0.1893 Ha/atom
total moment = 0.0 μB/f.u.
formation energy from the elements = -0.607 eV/atom
density = 7.62 g/cm³

```
data_Sr2Sn5Rh3
_symmetry_space_group_name_H-M 'I b a m'
_symmetry_Int_Tables_number 72
_symmetry_space_group_name_Hall '-I 2 2c'
_cell_length_a 10.977
_cell_length_b 13.399
_cell_length_c 6.382
_cell_angle_alpha 90.00
_cell_angle_beta 90.00
_cell_angle_gamma 90.00
loop_
_atom_site_label
_atom_site_type_symbol
_atom_site_fract_x
_atom_site_fract_y
_atom_site_fract_z
Sr1 Sr 0.227 0.147 0.000
Sn1 Sn 0.000 0.000 0.250
Sn2 Sn 0.000 0.283 0.250
Sn3 Sn 0.172 0.416 0.000
Rh1 Rh 0.000 0.500 0.250
Rh2 Rh 0.097 0.141 0.500
```



(4)
Entry from Alexandria: crystalline SnHg2MoAs at its relaxed geometry (PBE-GGA).

total energy = -0.1101 Ha/atom
total moment = 3.0 μB/f.u.
formation energy from the elements = 1.022 eV/atom
density = 7.67 g/cm³

```
data_SnHg2MoAs
_symmetry_space_group_name_H-M 'P 4/m m m'
_symmetry_Int_Tables_number 123
_symmetry_space_group_name_Hall '-P 4 2'
_cell_length_a 5.327
_cell_length_b 5.327
_cell_length_c 5.273
_cell_angle_alpha 90.00
_cell_angle_beta 90.00
_cell_angle_gamma 90.00
loop_
_atom_site_label
_atom_site_type_symbol
_atom_site_fract_x
_atom_site_fract_y
_atom_site_fract_z
Sn1 Sn 0.000 0.000 0.000
Hg1 Hg 0.000 0.500 0.500
Mo1 Mo 0.000 0.000 0.500
As1 As 0.500 0.500 0.000
```



(5)
Entry from Alexandria: crystalline BeNiSe at its relaxed geometry (PBE-GGA).

total energy = -0.1509 Ha/atom
total moment = 0.0 μB/f.u.
energy relative to the elements, uncorrected = 0.224 eV/atom
density = 5.72 g/cm³

```
data_BeNiSe
_symmetry_space_group_name_H-M 'I 4 m m'
_symmetry_Int_Tables_number 107
_symmetry_space_group_name_Hall 'I 4 -2'
_cell_length_a 2.726
_cell_length_b 2.726
_cell_length_c 11.458
_cell_angle_alpha 90.00
_cell_angle_beta 90.00
_cell_angle_gamma 90.00
loop_
_atom_site_label
_atom_site_type_symbol
_atom_site_fract_x
_atom_site_fract_y
_atom_site_fract_z
Be1 Be 0.000 0.000 0.000
Ni1 Ni 0.000 0.000 0.596
Se1 Se 0.000 0.000 0.264
```



(6)
Entry from Alexandria: crystalline BaNaPm2S4 at its relaxed geometry (PBE-GGA).

total energy = -0.2013 Ha/atom
total moment = 0.0 μB/f.u.
energy relative to the elements, uncorrected = -1.821 eV/atom
density = 4.61 g/cm³

```
data_BaNaPm2S4
_symmetry_space_group_name_H-M 'C m c m'
_symmetry_Int_Tables_number 63
_symmetry_space_group_name_Hall '-C 2c 2'
_cell_length_a 4.201
_cell_length_b 13.872
_cell_length_c 14.309
_cell_angle_alpha 90.00
_cell_angle_beta 90.00
_cell_angle_gamma 90.00
loop_
_atom_site_label
_atom_site_type_symbol
_atom_site_fract_x
_atom_site_fract_y
_atom_site_fract_z
Ba1 Ba 0.000 0.122 0.250
Na1 Na 0.000 0.150 0.750
Pm1 Pm 0.000 0.375 0.054
S1 S 0.000 0.000 0.000
S2 S 0.000 0.267 0.610
S3 S 0.000 0.454 0.250
```



(7)
Entry from Alexandria: crystalline HfAsPt3 at its relaxed geometry (PBE-GGA).

E above lowest polymorph = 3.30 eV/f.u.
total energy = -0.2109 Ha/atom
total moment = 0.0 μB/f.u.
formation energy from the elements = 0.806 eV/atom
density = 11.73 g/cm³

```
data_HfAsPt3
_symmetry_space_group_name_H-M 'P m -3 m'
_symmetry_Int_Tables_number 221
_symmetry_space_group_name_Hall '-P 4 2 3'
_cell_length_a 4.916
_cell_length_b 4.916
_cell_length_c 4.916
_cell_angle_alpha 90.00
_cell_angle_beta 90.00
_cell_angle_gamma 90.00
loop_
_atom_site_label
_atom_site_type_symbol
_atom_site_fract_x
_atom_site_fract_y
_atom_site_fract_z
Hf1 Hf 0.000 0.000 0.000
As1 As 0.500 0.500 0.500
Pt1 Pt 0.000 0.000 0.500
```



(8)
Entry from Alexandria: crystalline CsPd3N at its relaxed geometry (PBE-GGA).

E above lowest polymorph = 8.63 eV/f.u.
total energy = -0.0977 Ha/atom
total moment = 2.6 μB/f.u.
energy relative to the elements, uncorrected = 2.293 eV/atom
density = 4.90 g/cm³

```
data_CsPd3N
_symmetry_space_group_name_H-M 'P m -3 m'
_symmetry_Int_Tables_number 221
_symmetry_space_group_name_Hall '-P 4 2 3'
_cell_length_a 5.405
_cell_length_b 5.405
_cell_length_c 5.405
_cell_angle_alpha 90.00
_cell_angle_beta 90.00
_cell_angle_gamma 90.00
loop_
_atom_site_label
_atom_site_type_symbol
_atom_site_fract_x
_atom_site_fract_y
_atom_site_fract_z
Cs1 Cs 0.000 0.000 0.000
Pd1 Pd 0.000 0.000 0.500
N1 N 0.500 0.500 0.500
```



Calculated volume per entry: 190 107 939 150 85 834 119 158 Å³ per cell